CaTcRu2: single point on PBEsol structure, meta-GGA SCAN.

It has space group P4mm (No. 99), with a = 2.7269 Å, b = 2.7269 Å, c = 8.5551 Å, α = 90.00°, β = 90.00° and γ = 90.00°. Symmetry generates all atoms from Ca at (0.0000, 0.0000, 0.0000), Tc at (0.5000, 0.5000, 0.7064), Ru at (0.0000, 0.0000, 0.4816) and Ru at (0.5000, 0.5000, 0.2808).

For the density, the calculation gives 8.9 g/cm³. The calculation puts the magnetization at 0.000 μB per cell. The value obtained for the final energy is -2.0690 Ry/atom. The calculation puts the formation energy at 444 meV/atom.